A relaxed LiCaMg crystal, computed with GGA-PBEsol.

Unit cell a=3.7389 b=3.7389 c=11.3942 alpha=90.00 beta=90.00 gamma=90.00
Space group I4mm (No. 107)
Symmetry-distinct sites (fractional):
Li (0.0000, 0.0000, 0.0000) x2
Ca (0.0000, 0.0000, 0.3128) x2
Mg (0.0000, 0.0000, 0.6225) x2

Calculated values
The value obtained for the energy relative to the elements is -0.13 eV per formula unit. Its volume is 26.55 A^3/atom. The energy comes out at -1.983 eV per atom. The total moment is 0.0 μB per cell.



A relaxed LiCa2Mg2 crystal, computed with GGA-PBEsol.

Unit cell a=7.7188 b=7.7188 c=5.0918 alpha=90.00 beta=90.00 gamma=90.00
Space group P4/mbm (No. 127)
Symmetry-distinct sites (fractional):
Li (0.0000, 0.0000, 0.0000) x2
Ca (0.1701, 0.3299, 0.5000) x4
Mg (0.1357, 0.6357, 0.0000) x4

Calculated values
The value obtained for the energy relative to the elements is 0.07 eV per formula unit. Its volume is 30.34 A^3/atom. The energy comes out at -1.919 eV per atom. The total moment is 0.0 μB per cell.



A relaxed Li2Ca2Mg crystal, computed with GGA-PBEsol.

Unit cell a=3.8962 b=3.8962 c=19.0556 alpha=90.00 beta=90.00 gamma=90.00
Space group I4/mmm (No. 139)
Symmetry-distinct sites (fractional):
Li (0.0000, 0.5000, 0.2500) x4
Ca (0.0000, 0.0000, 0.1027) x4
Mg (0.0000, 0.0000, 0.5000) x2

Calculated values
The value obtained for the energy relative to the elements is 0.24 eV per formula unit. Its volume is 28.93 A^3/atom. The energy comes out at -1.934 eV per atom. The total moment is 0.0 μB per cell.



A relaxed LiCaMg2 crystal, computed with GGA-PBEsol.

Unit cell a=3.6635 b=3.6635 c=7.5740 alpha=90.00 beta=90.00 gamma=90.00
Space group P4mm (No. 99)
Symmetry-distinct sites (fractional):
Li (0.0000, 0.0000, 0.0000) x1
Ca (0.5000, 0.5000, 0.7144) x1
Mg (0.0000, 0.0000, 0.4245) x1
Mg (0.5000, 0.5000, 0.1955) x1

Calculated values
The value obtained for the energy relative to the elements is -0.13 eV per formula unit. Its volume is 25.41 A^3/atom. The energy comes out at -1.917 eV per atom. The total moment is 0.0 μB per cell.



A relaxed LiCaMg2 crystal, computed with GGA-PBEsol.

Unit cell a=11.4305 b=3.8182 c=5.2114 alpha=90.00 beta=116.96 gamma=90.00
Space group C2/m (No. 12)
Symmetry-distinct sites (fractional):
Li (0.0000, 0.0000, 0.0000) x2
Ca (0.0000, 0.5000, 0.5000) x2
Mg (0.2260, 0.5000, 0.2259) x4

Calculated values
The value obtained for the energy relative to the elements is -0.09 eV per formula unit. Its volume is 25.34 A^3/atom. The energy comes out at -1.907 eV per atom. The total moment is 0.0 μB per cell.



A relaxed LiCaMg2 crystal, computed with GGA-PBEsol.

Unit cell a=7.3781 b=7.3781 c=7.3781 alpha=90.00 beta=90.00 gamma=90.00
Space group F-43m (No. 216)
Symmetry-distinct sites (fractional):
Li (0.0000, 0.0000, 0.0000) x4
Ca (0.2500, 0.2500, 0.2500) x4
Mg (0.0000, 0.0000, 0.5000) x4
Mg (0.2500, 0.2500, 0.7500) x4

Calculated values
The value obtained for the energy relative to the elements is -0.17 eV per formula unit. Its volume is 25.10 A^3/atom. The energy comes out at -1.926 eV per atom. The total moment is 0.0 μB per cell.